1.
ErMgGaPb | PBE | relaxed

Calculated values
Space group = No. 216
Electronic total energy = -3.433 eV/atom
Calculated volume = 97 Å³/cell
ΔE_f = -209 meV per atom
Calculated density = 8.0 g/cm³
Spin magnetization = 0.00 μB per cell

Lattice parameters (Å, degrees): 5.1615 5.1615 5.1615 60.00 60.00 60.00
Positions (direct):
Mg1 0.5000 0.5000 0.5000
Pb1 0.2500 0.2500 0.2500
Er1 0.0000 0.0000 0.0000
Ga1 0.7500 0.7500 0.7500

=====

2.
Ac6IrPt2Br3 | PBE | relaxed

Calculated values
Space group = No. 12
Electronic total energy = -5.520 eV/atom
E_form (uncorrected) = -1.30 eV per atom
Calculated volume = 419 Å³/cell
Calculated density = 8.6 g/cm³
Spin magnetization = 0.00 μB per cell

Lattice parameters (Å, degrees): 4.4281 9.6976 10.6608 110.04 101.99 90.00
Positions (direct):
Br1 0.1665 0.8303 0.3331
Ac1 0.0106 0.2139 0.0211
Ac2 0.3222 0.4469 0.6444
Pt1 0.8329 0.6662 0.6657
Ac3 0.9894 0.7861 0.9789
Ac4 0.3485 0.8901 0.6969
Br2 0.5000 0.5000 0.0000
Ir1 0.5000 0.0000 0.0000
Br3 0.8335 0.1697 0.6669
Ac5 0.6778 0.5531 0.3556
Ac6 0.6515 0.1099 0.3031
Pt2 0.1671 0.3338 0.3343

=====

3.
Tm2LuBe | PBE | relaxed

Calculated values
Space group = No. 123
Electronic total energy = -4.241 eV/atom
Calculated volume = 98 Å³/cell
ΔE_f = 57 meV per atom
E above lowest polymorph = 0.00 eV/f.u.
Calculated density = 8.9 g/cm³
Spin magnetization = 0.00 μB per cell

Lattice parameters (Å, degrees): 3.4083 3.4083 8.4019 90.00 90.00 90.00
Positions (direct):
Lu1 0.5000 0.5000 0.5000
Be1 0.5000 0.5000 0.0000
Tm1 0.0000 0.0000 0.1942
Tm2 0.0000 0.0000 0.8058

=====

4.
Pm2Y15Ho2 | PBE | relaxed

Calculated values
Space group = No. 166
Electronic total energy = -5.780 eV/atom
Calculated volume = 647 Å³/cell
ΔE_f = 305 meV per atom
Calculated density = 5.0 g/cm³
Spin magnetization = 0.00 μB per cell

Lattice parameters (Å, degrees): 8.7901 8.7901 8.7901 79.09 79.09 79.09
Positions (direct):
Y1 0.3022 0.0000 0.6978
Y2 0.3022 0.6978 0.0000
Y3 0.0000 0.3022 0.6978
Y4 0.1508 0.6274 0.6274
Y5 0.6978 0.0000 0.3022
Ho1 0.6796 0.6796 0.6796
Y6 0.5000 0.0000 0.0000
Y7 0.6274 0.1508 0.6274
Pm1 0.9036 0.9036 0.9036
Y8 0.3726 0.3726 0.8492
Y9 0.6274 0.6274 0.1508
Y10 0.3726 0.8492 0.3726
Y11 0.6978 0.3022 0.0000
Y12 0.0000 0.0000 0.5000
Y13 0.8492 0.3726 0.3726
Y14 0.0000 0.5000 0.0000
Ho2 0.3204 0.3204 0.3204
Pm2 0.0964 0.0964 0.0964
Y15 0.0000 0.6978 0.3022